VASP calculation (PBE) on crystalline Ce2DyScSe4 at its relaxed geometry.

Summary:
Formation energy (no corrections)   -168.2 kJ per mole of atoms
Mass density   6881 kg/m³
V   194 Å³/f.u.

Lattice parameters (Å, degrees): 4.048 7.031 7.201 108.89 90.00 90.00
Element x y z (fractional)
Dy: 0.500 0.500 0.000
Ce: 0.500 0.000 0.500
Ce: 0.000 0.500 0.500
Se: 0.000 0.752 0.233
Se: 0.500 0.235 0.228
Se: 0.000 0.248 0.767
Se: 0.500 0.765 0.772
Sc: 0.000 0.000 0.000

VASP calculation (PBE) on crystalline DyEr2Pa at its relaxed geometry.

Summary:
Formation enthalpy at 0 K   0.41 eV per formula unit
Mass density   10487 kg/m³
Relative energy among the computed polymorphs   0.0 meV/atom
V   115 Å³/f.u.

Lattice parameters (Å, degrees): 3.411 3.411 11.607 81.55 81.55 60.00
Element x y z (fractional)
Er: 0.248 0.248 0.257
Er: 0.086 0.086 0.743
Dy: 0.666 0.666 0.001
Pa: 0.500 0.500 0.499

VASP calculation (PBE) on crystalline MnCr2As at its relaxed geometry.

Summary:
Formation enthalpy at 0 K   1.15 eV per formula unit
Mass density   7377 kg/m³
V   53 Å³/f.u.

Lattice parameters (Å, degrees): 7.784 7.784 7.784 20.92 20.92 20.92
Element x y z (fractional)
As: 0.749 0.749 0.749
Cr: 0.995 0.995 0.995
Cr: 0.252 0.252 0.252
Mn: 0.504 0.504 0.504